1.
A geometry-optimized Cs2TlSe2O6 structure, computed with GGA-PBE.

Summary:
* energy: -4.8157 eV per atom
* magnetic moment: 0.000 μB per atom
* volume: 293 Å³ per cell

Cell: 8.589 8.589 8.589 Å, 45.39 45.39 45.39°
Positions (direct):
Cs: 0.234 0.234 0.234
Cs: 0.766 0.766 0.766
Tl: 0.500 0.500 0.500
Se: 0.071 0.071 0.071
Se: 0.929 0.929 0.929
O: 0.179 0.763 0.763
O: 0.237 0.237 0.821
O: 0.237 0.821 0.237
O: 0.763 0.179 0.763
O: 0.763 0.763 0.179
O: 0.821 0.237 0.237

=====

2.
A geometry-optimized Cs2TmSe2O6 structure, computed with GGA-PBE.

Summary:
* energy: -5.4722 eV per atom
* magnetic moment: 0.000 μB per atom
* volume: 224 Å³ per cell

Cell: 5.952 5.952 7.590 Å, 108.22 108.22 63.63°
Positions (direct):
Cs: 0.209 0.209 0.152
Cs: 0.791 0.791 0.848
Tm: 0.000 0.000 0.500
Se: 0.417 0.417 0.745
Se: 0.583 0.583 0.255
O: 0.239 0.239 0.590
O: 0.249 0.750 0.713
O: 0.250 0.751 0.287
O: 0.750 0.249 0.713
O: 0.751 0.250 0.287
O: 0.761 0.761 0.410

=====

3.
A geometry-optimized CsUSeO5 structure, computed with GGA-PBE.

Summary:
* energy: -7.1672 eV per atom
* magnetic moment: 0.125 μB per atom
* volume: 342 Å³ per cell

Cell: 6.767 6.767 8.187 Å, 92.81 92.81 113.82°
Positions (direct):
Cs: 0.143 0.857 0.750
Cs: 0.857 0.143 0.250
U: 0.500 0.500 0.000
U: 0.500 0.500 0.500
Se: 0.213 0.787 0.250
Se: 0.787 0.213 0.750
O: 0.221 0.280 0.995
O: 0.238 0.633 0.403
O: 0.280 0.221 0.495
O: 0.367 0.762 0.097
O: 0.445 0.555 0.750
O: 0.555 0.445 0.250
O: 0.633 0.238 0.903
O: 0.720 0.779 0.505
O: 0.762 0.367 0.597
O: 0.779 0.720 0.005

=====

4.
A geometry-optimized Cs2USe2O2 structure, computed with GGA-PBE.

Summary:
* energy: -6.0441 eV per atom
* magnetic moment: 0.000 μB per atom
* volume: 210 Å³ per cell

Cell: 11.792 11.792 11.792 Å, 159.03 159.03 29.82°
Positions (direct):
Cs: 0.180 0.180 0.000
Cs: 0.820 0.820 0.000
U: 0.500 0.500 0.000
Se: 0.381 0.381 0.000
Se: 0.619 0.619 0.000
O: 0.000 0.500 0.500
O: 0.500 0.000 0.500

=====

5.
A geometry-optimized CsUSeO2 structure, computed with GGA-PBE.

Summary:
* energy: -7.2287 eV per atom
* magnetic moment: 0.200 μB per atom
* volume: 114 Å³ per cell

Cell: 4.411 4.411 5.861 Å, 90.00 90.00 90.00°
Positions (direct):
Cs: 0.000 0.000 0.000
U: 0.500 0.500 0.406
Se: 0.500 0.500 0.868
O: 0.000 0.500 0.389
O: 0.500 0.000 0.389

=====

6.
A geometry-optimized CsUSe2O8 structure, computed with GGA-PBE.

Summary:
* energy: -6.4375 eV per atom
* magnetic moment: 0.000 μB per atom
* volume: 277 Å³ per cell

Cell: 6.180 6.180 8.366 Å, 90.00 90.00 120.00°
Positions (direct):
Cs: 0.000 0.000 0.000
U: 0.000 0.000 0.500
Se: 0.333 0.667 0.308
Se: 0.667 0.333 0.692
O: 0.155 0.310 0.350
O: 0.155 0.845 0.350
O: 0.310 0.155 0.650
O: 0.333 0.667 0.113
O: 0.667 0.333 0.887
O: 0.690 0.845 0.350
O: 0.845 0.155 0.650
O: 0.845 0.690 0.650

=====

7.
A geometry-optimized Cs3U2Se3O4 structure, computed with GGA-PBE.

Summary:
* energy: -6.6534 eV per atom
* magnetic moment: 0.084 μB per atom
* volume: 325 Å³ per cell

Cell: 13.814 13.814 13.814 Å, 162.16 156.24 29.86°
Positions (direct):
Cs: 0.000 0.000 0.000
Cs: 0.203 0.203 0.000
Cs: 0.797 0.797 0.000
U: 0.393 0.393 0.000
U: 0.607 0.607 0.000
Se: 0.105 0.605 0.500
Se: 0.500 0.500 0.000
Se: 0.895 0.395 0.500
O: 0.321 0.321 0.000
O: 0.394 0.894 0.500
O: 0.606 0.106 0.500
O: 0.679 0.679 0.000